Mg2TeCl | PBE | optimized geometry

energy relative to the lowest polymorph listed for this composition	227	meV/atom
raw formation energy	-2.398	eV per formula unit
crystal system	tetragonal

a b c (Å): 3.2926 3.2926 9.8864
angles (deg): 90.00 90.00 90.00
Space group P4mm (No. 99)
Inequivalent atoms, fractional coordinates:
Mg (0.0000, 0.0000, 0.0000) [1 per cell]
Mg (0.5000, 0.5000, 0.2443) [1 per cell]
Te (0.0000, 0.0000, 0.4563) [1 per cell]
Cl (0.5000, 0.5000, 0.8638) [1 per cell]


MgTeCl | PBE | optimized geometry

raw formation energy	-3.298	eV per formula unit
crystal system	triclinic

a b c (Å): 6.0729 6.3246 6.6540
angles (deg): 116.81 97.01 103.27
Space group P1 (No. 1)
Inequivalent atoms, fractional coordinates:
Mg (0.0000, 0.0000, 0.0000) [1 per cell]
Mg (0.2764, 0.4729, 0.7225) [1 per cell]
Te (0.7025, 0.6229, 0.0559) [1 per cell]
Te (0.8412, 0.2263, 0.7560) [1 per cell]
Cl (0.2043, 0.8233, 0.7125) [1 per cell]
Cl (0.3171, 0.2300, 0.3419) [1 per cell]


Mg2TeCl | PBE | optimized geometry

energy relative to the lowest polymorph listed for this composition	125	meV/atom
raw formation energy	-2.807	eV per formula unit
crystal system	orthorhombic

a b c (Å): 4.4316 5.8184 7.3335
angles (deg): 90.00 90.00 90.00
Space group Immm (No. 71)
Inequivalent atoms, fractional coordinates:
Mg (0.0000, 0.0000, 0.2221) [4 per cell]
Te (0.0000, 0.5000, 0.0000) [2 per cell]
Cl (0.0000, 0.5000, 0.5000) [2 per cell]


Mg3TeCl | PBE | optimized geometry

energy relative to the lowest polymorph listed for this composition	110	meV/atom
raw formation energy	0.149	eV per formula unit
crystal system	cubic

a b c (Å): 5.7801 5.7801 5.7801
angles (deg): 90.00 90.00 90.00
Space group Pm-3m (No. 221)
Inequivalent atoms, fractional coordinates:
Mg (0.0000, 0.0000, 0.5000) [3 per cell]
Te (0.0000, 0.0000, 0.0000) [1 per cell]
Cl (0.5000, 0.5000, 0.5000) [1 per cell]


MgTe2Cl2 | PBE | optimized geometry

energy relative to the lowest polymorph listed for this composition	0	meV/atom
raw formation energy	-1.625	eV per formula unit
crystal system	tetragonal

a b c (Å): 7.4633 7.4633 5.1331
angles (deg): 90.00 90.00 90.00
Space group P4/mbm (No. 127)
Inequivalent atoms, fractional coordinates:
Mg (0.0000, 0.0000, 0.0000) [2 per cell]
Te (0.1252, 0.3748, 0.0000) [4 per cell]
Cl (0.2221, 0.7221, 0.5000) [4 per cell]


MgTeCl | PBE | optimized geometry

raw formation energy	-2.538	eV per formula unit
crystal system	tetragonal

a b c (Å): 3.3265 3.3265 15.6762
angles (deg): 90.00 90.00 90.00
Space group I4mm (No. 107)
Inequivalent atoms, fractional coordinates:
Mg (0.0000, 0.0000, 0.0000) [2 per cell]
Te (0.0000, 0.0000, 0.6334) [2 per cell]
Cl (0.0000, 0.0000, 0.4102) [2 per cell]


Mg2TeCl | PBE | optimized geometry

energy relative to the lowest polymorph listed for this composition	90	meV/atom
raw formation energy	-2.947	eV per formula unit
crystal system	tetragonal

a b c (Å): 5.9504 5.9504 14.1641
angles (deg): 90.00 90.00 90.00
Space group I-42d (No. 122)
Inequivalent atoms, fractional coordinates:
Mg (0.2183, 0.2500, 0.1250) [8 per cell]
Te (0.0000, 0.0000, 0.5000) [4 per cell]
Cl (0.0000, 0.0000, 0.0000) [4 per cell]


Mg2TeCl | PBE | optimized geometry

energy relative to the lowest polymorph listed for this composition	71	meV/atom
raw formation energy	-3.020	eV per formula unit
crystal system	orthorhombic

a b c (Å): 3.7801 3.9111 6.9529
angles (deg): 90.00 90.00 90.00
Space group Pmmm (No. 47)
Inequivalent atoms, fractional coordinates:
Mg (0.0000, 0.0000, 0.2144) [2 per cell]
Te (0.5000, 0.5000, 0.0000) [1 per cell]
Cl (0.5000, 0.0000, 0.5000) [1 per cell]


Please write out number 4 again, unchanged.
Mg3TeCl | PBE | optimized geometry

energy relative to the lowest polymorph listed for this composition	110	meV/atom
raw formation energy	0.149	eV per formula unit
crystal system	cubic

a b c (Å): 5.7801 5.7801 5.7801
angles (deg): 90.00 90.00 90.00
Space group Pm-3m (No. 221)
Inequivalent atoms, fractional coordinates:
Mg (0.0000, 0.0000, 0.5000) [3 per cell]
Te (0.0000, 0.0000, 0.0000) [1 per cell]
Cl (0.5000, 0.5000, 0.5000) [1 per cell]


Q: raw formation energy of number 5 (MgTe2Cl2)?
A: -1.625 eV per formula unit